# 1
A plane-wave DFT calculation with PBE was carried out for a relaxed structure of Tm2AlNiOs.

Lattice parameters (Å, degrees): 5.418 5.418 5.418 135.74 79.19 118.13
Fractional coordinates of all 5 atoms:
1 Al 0.000 0.000 0.000
2 Ni 0.262 0.762 0.500
3 Os 0.726 0.226 0.500
4 Tm 0.707 0.506 0.201
5 Tm 0.305 0.506 0.799

Properties
Volume   95.0 Å³ per cell
Calculated density   10.7 g cm⁻³
DFT total energy   -6.435 eV/atom
Space-group type   Imm2

---

# 2
A plane-wave DFT calculation with PBE was carried out for a relaxed structure of Cu2ReB.

Lattice parameters (Å, degrees): 3.993 3.993 3.993 60.00 60.00 60.00
Each line ends with the local moment (μB).
Fractional coordinates of all 4 atoms:
1 B 0.500 0.500 0.500  -0.01
2 Cu 0.000 0.000 0.000  0.02
3 Cu 0.750 0.750 0.750  0.01
4 Re 0.250 0.250 0.250  0.17

Properties
Volume   45.0 Å³ per cell
Calculated density   12.0 g cm⁻³
DFT total energy   -5.999 eV/atom
Space-group type   F-43m

---

# 3
A plane-wave DFT calculation with PBE was carried out for a relaxed structure of NbCl5.

Lattice parameters (Å, degrees): 7.865 10.295 8.151 90.00 90.58 90.00
Fractional coordinates of all 24 atoms:
1 Cl 0.672 0.617 0.063
2 Cl 0.634 0.124 0.070
3 Cl 0.955 0.860 0.129
4 Cl 0.961 0.390 0.139
5 Cl 0.236 0.624 0.226
6 Cl 0.264 0.124 0.274
7 Cl 0.539 0.890 0.361
8 Cl 0.545 0.360 0.371
9 Cl 0.866 0.624 0.430
10 Cl 0.828 0.117 0.437
11 Cl 0.172 0.883 0.563
12 Cl 0.134 0.376 0.570
13 Cl 0.455 0.640 0.629
14 Cl 0.461 0.110 0.639
15 Cl 0.736 0.876 0.726
16 Cl 0.764 0.376 0.774
17 Cl 0.039 0.610 0.861
18 Cl 0.045 0.140 0.871
19 Cl 0.366 0.876 0.930
20 Cl 0.328 0.383 0.937
21 Nb 0.947 0.640 0.164
22 Nb 0.553 0.140 0.336
23 Nb 0.447 0.860 0.664
24 Nb 0.053 0.360 0.836

Properties
Volume   660.0 Å³ per cell
Calculated density   2.7 g cm⁻³
DFT total energy   -4.435 eV/atom
Space-group type   P2_1/c

---

# 4
A plane-wave DFT calculation with PBE was carried out for a relaxed structure of Re2GeIr.

Lattice parameters (Å, degrees): 4.393 4.393 4.393 60.00 60.00 60.00
Each line ends with the local moment (μB).
Fractional coordinates of all 4 atoms:
1 Ge 0.500 0.500 0.500  0.02
2 Ir 0.250 0.250 0.250  0.09
3 Re 0.000 0.000 0.000  0.41
4 Re 0.750 0.750 0.750  -0.03

Properties
Volume   59.9 Å³ per cell
Calculated density   17.7 g cm⁻³
DFT total energy   -9.157 eV/atom
Space-group type   F-43m

---

# 5
A plane-wave DFT calculation with PBE was carried out for a relaxed structure of LaLu2PbC.

Lattice parameters (Å, degrees): 4.841 4.841 5.226 90.00 90.00 90.00
Fractional coordinates of all 5 atoms:
1 C 0.000 0.000 0.500
2 La 0.000 0.000 0.000
3 Lu 0.500 0.000 0.500
4 Lu 0.000 0.500 0.500
5 Pb 0.500 0.500 0.000

Properties
Volume   122.5 Å³ per cell
Calculated density   9.6 g cm⁻³
DFT total energy   -5.849 eV/atom
Space-group type   P4/mmm

---

# 6
A plane-wave DFT calculation with PBE was carried out for a relaxed structure of Fe2Sn3B.

Lattice parameters (Å, degrees): 6.387 5.392 4.963 76.03 55.02 48.95
Each line ends with the local moment (μB).
Fractional coordinates of all 6 atoms:
1 B 0.272 0.272 0.728  -0.06
2 Fe 0.263 0.263 0.237  1.80
3 Fe 0.763 0.763 0.737  1.74
4 Sn 0.172 0.840 0.160  -0.05
5 Sn 0.690 0.690 0.310  0.00
6 Sn 0.840 0.172 0.828  -0.05

Properties
Volume   103.1 Å³ per cell
Calculated density   7.7 g cm⁻³
DFT total energy   -5.429 eV/atom
Space-group type   Fmm2

---

# 7
A plane-wave DFT calculation with PBE was carried out for a relaxed structure of NaNiTe3Ir.

Lattice parameters (Å, degrees): 7.046 7.046 10.431 90.00 90.00 147.21
Fractional coordinates of all 12 atoms:
1 Ir 0.500 0.500 0.000
2 Ir 0.500 0.500 0.500
3 Na 0.269 0.731 0.250
4 Na 0.731 0.269 0.750
5 Ni 0.957 0.043 0.250
6 Ni 0.043 0.957 0.750
7 Te 0.870 0.130 0.038
8 Te 0.573 0.427 0.250
9 Te 0.870 0.130 0.462
10 Te 0.130 0.870 0.538
11 Te 0.427 0.573 0.750
12 Te 0.130 0.870 0.962

Properties
Volume   280.4 Å³ per cell
Calculated density   7.8 g cm⁻³
DFT total energy   -4.456 eV/atom
Space-group type   Cmcm

---

# 8
A plane-wave DFT calculation with PBE was carried out for a relaxed structure of Ta2CoC.

Lattice parameters (Å, degrees): 3.076 3.076 12.955 90.00 90.00 120.00
Each line ends with the local moment (μB).
Fractional coordinates of all 8 atoms:
1 C 0.000 0.000 0.000  0.00
2 C 0.000 0.000 0.500  0.00
3 Co 0.667 0.333 0.250  0.72
4 Co 0.333 0.667 0.750  0.72
5 Ta 0.333 0.667 0.099  -0.01
6 Ta 0.333 0.667 0.401  -0.01
7 Ta 0.667 0.333 0.599  -0.01
8 Ta 0.667 0.333 0.901  -0.01

Properties
Volume   106.2 Å³ per cell
Calculated density   13.5 g cm⁻³
DFT total energy   -10.292 eV/atom
Space-group type   P6_3/mmc

---

# 9
A plane-wave DFT calculation with PBE was carried out for a relaxed structure of ErBOs.

Lattice parameters (Å, degrees): 4.352 4.352 4.352 60.00 60.00 60.00
Fractional coordinates of all 3 atoms:
1 B 0.250 0.250 0.250
2 Er 0.000 0.000 0.000
3 Os 0.750 0.750 0.750

Properties
Volume   58.3 Å³ per cell
Calculated density   10.5 g cm⁻³
DFT total energy   -5.912 eV/atom
Space-group type   F-43m

---

# 10
A plane-wave DFT calculation with PBE was carried out for a relaxed structure of NaFeSiSb.

Lattice parameters (Å, degrees): 4.759 4.759 4.759 60.00 60.00 60.00
Fractional coordinates of all 4 atoms:
1 Fe 0.500 0.500 0.500
2 Na 0.750 0.750 0.750
3 Sb 0.000 0.000 0.000
4 Si 0.250 0.250 0.250

Properties
Volume   76.2 Å³ per cell
Calculated density   5.0 g cm⁻³
DFT total energy   -4.198 eV/atom
Space-group type   F-43m

---

# 11
A plane-wave DFT calculation with PBE was carried out for a relaxed structure of KRbAs2Au4.

Lattice parameters (Å, degrees): 8.905 8.905 8.905 140.90 140.90 56.49
Fractional coordinates of all 8 atoms:
1 As 0.500 0.500 0.000
2 As 0.750 0.250 0.500
3 Au 0.627 0.352 0.228
4 Au 0.648 0.876 0.274
5 Au 0.601 0.373 0.726
6 Au 0.124 0.399 0.772
7 K 0.000 0.000 0.000
8 Rb 0.250 0.750 0.500

Properties
Volume   278.7 Å³ per cell
Calculated density   6.3 g cm⁻³
DFT total energy   -3.388 eV/atom
Space-group type   I-4

---

# 12
A plane-wave DFT calculation with PBE was carried out for a relaxed structure of RbHoCo.

Lattice parameters (Å, degrees): 4.983 4.983 4.983 60.00 60.00 60.00
Fractional coordinates of all 3 atoms:
1 Co 0.000 0.000 0.000
2 Ho 0.250 0.250 0.250
3 Rb 0.750 0.750 0.750

Properties
Volume   87.5 Å³ per cell
Calculated density   5.9 g cm⁻³
DFT total energy   -3.204 eV/atom
Space-group type   F-43m